(1)
DFT (PBE) results for a relaxed structure of NdC2.

The structure in POSCAR format:
```
NdC2
1.0
1.4658 -7.4273 -0.7373
4.1751 -2.4902 -5.8501
7.0384 -2.6245 1.1954
C Nd
4 2
direct
0.8750 0.3750 0.3750
0.3750 0.8750 0.3750
0.3750 0.3750 0.3750
0.3750 0.3750 0.8750
0.2500 0.2500 0.2500
0.5000 0.5000 0.5000
```

uncorrected energy	-4.593	eV/atom
ρ	1.80	g/cm³


(2)
DFT (PBE) results for a relaxed structure of NdC.

The structure in POSCAR format:
```
NdC
1.0
0.1767 -3.6535 1.6076
-0.9782 -0.5443 3.8354
-3.3673 -1.9303 0.9484
C Nd
1 1
direct
0.0000 0.0000 0.0000
0.2500 0.2500 0.2500
```

uncorrected energy	-6.415	eV/atom
ρ	5.75	g/cm³


(3)
DFT (PBE) results for a relaxed structure of NdC2.

The structure in POSCAR format:
```
NdC2
1.0
-2.1964 0.7915 4.1587
-4.6850 -0.7920 0.4110
-1.5784 -3.6733 2.6002
C Nd
4 2
direct
0.6250 0.6250 0.1250
0.6250 0.1250 0.6250
0.1250 0.6250 0.6250
0.6250 0.6250 0.6250
0.0000 0.0000 0.0000
0.2500 0.2500 0.2500
```

uncorrected energy	-5.811	eV/atom
ρ	7.29	g/cm³


(4)
DFT (PBE) results for a relaxed structure of NdNi3C.

The structure in POSCAR format:
```
NdNi3C
1.0
-0.0401 -4.0403 0.0948
2.0173 -0.1022 -3.5007
3.5020 0.0126 2.0177
C Nd Ni
1 1 3
direct
0.5000 0.5000 0.5000
0.0000 0.0000 0.0000
0.5000 0.5000 0.0000
0.5000 0.0000 0.5000
0.0000 0.5000 0.5000
```

uncorrected energy	-6.193	eV/atom
ρ	8.36	g/cm³


(5)
DFT (PBE) results for a relaxed structure of NdNiC2.

The structure in POSCAR format:
```
NdNiC2
1.0
-3.8089 0.0000 0.0000
0.0000 -2.2777 -3.0600
0.0000 -2.2777 3.0600
C Nd Ni
2 1 1
direct
0.5000 0.5462 0.1545
0.5000 0.8455 0.4538
0.0000 0.9993 0.0007
0.5000 0.3850 0.6150
```

uncorrected energy	-7.447	eV/atom
ρ	7.10	g/cm³


(6)
DFT (PBE) results for a relaxed structure of NdNpW2C3.

The structure in POSCAR format:
```
NdNpW2C3
1.0
-5.2111 3.3165 -1.0877
-4.4685 1.8792 -3.9798
-1.0724 -5.1980 2.3079
C Nd Np W
3 1 1 2
direct
0.7444 0.7444 0.2616
0.2471 0.2471 0.7367
0.0037 0.0037 0.9889
0.3971 0.3971 0.1942
0.6109 0.6109 0.8210
0.1550 0.1550 0.3260
0.8418 0.8418 0.6716
```

uncorrected energy	-10.281	eV/atom
ρ	12.28	g/cm³


(7)
DFT (PBE) results for a relaxed structure of NdCO5.

The structure in POSCAR format:
```
NdCO5
1.0
4.5909 0.0000 0.0000
-0.3452 4.6200 0.0000
-2.1301 -1.5102 3.9122
C Nd O
1 1 5
direct
0.5294 0.3364 0.7987
0.0152 0.9866 0.0026
0.5385 0.8311 0.3959
0.8329 0.8511 0.3982
0.2745 0.3840 0.5684
0.8349 0.4407 0.8642
0.5052 0.1701 0.9720
```

uncorrected energy	-7.286	eV/atom
ρ	4.73	g/cm³


(8)
DFT (PBE) results for a relaxed structure of NdCO3.

The structure in POSCAR format:
```
NdCO3
1.0
7.1372 0.0000 0.0000
0.0000 8.1210 0.0000
0.0000 0.0000 4.1369
C Nd O
4 4 12
direct
0.0880 0.7500 0.0334
0.5880 0.7500 0.4666
0.4120 0.2500 0.5334
0.9120 0.2500 0.9666
0.5000 0.0000 0.0000
0.5000 0.5000 0.0000
0.0000 0.0000 0.5000
0.0000 0.5000 0.5000
0.1814 0.6055 0.0516
0.1814 0.8945 0.0516
0.0516 0.2500 0.1811
0.5516 0.2500 0.3189
0.6814 0.6055 0.4484
0.6814 0.8945 0.4484
0.3186 0.1055 0.5516
0.3186 0.3945 0.5516
0.4484 0.7500 0.6811
0.9484 0.7500 0.8189
0.8186 0.1055 0.9484
0.8186 0.3945 0.9484
```

uncorrected energy	-7.775	eV/atom
ρ	5.66	g/cm³